No. 1
Density functional theory data (PBE) for CuP2 after structural relaxation.

Structure (extended XYZ):
```
6
Lattice="0.000 3.510 3.510 3.510 0.000 3.510 3.510 3.510 0.000" Properties=species:S:1:pos:R:3 pbc="T T T"
Cu 0.878 0.878 0.878
Cu 6.143 6.143 6.143
P 3.510 1.755 1.755
P 1.755 3.510 1.755
P 1.755 1.755 3.510
P 3.510 3.510 3.510
```

DFT total energy: -12.44 eV/f.u.

***

No. 2
Density functional theory data (PBE) for CuP2 after structural relaxation.

Structure (extended XYZ):
```
12
Lattice="5.796 0.000 0.000 0.000 4.805 0.000 -2.903 0.000 6.929" Properties=species:S:1:pos:R:3 pbc="T T T"
Cu -0.376 0.187 2.885
Cu -1.828 2.216 6.349
Cu 4.721 2.590 0.579
Cu 3.269 4.619 4.044
P -0.598 3.472 4.844
P 0.854 3.737 1.380
P 2.118 0.556 0.550
P 0.666 1.846 4.014
P 2.227 2.959 2.915
P 0.775 4.249 6.379
P 2.040 1.069 5.549
P 3.491 1.334 2.084
```

DFT total energy: -14.88 eV/f.u.

***

No. 3
Density functional theory data (PBE) for CuP after structural relaxation.

Structure (extended XYZ):
```
2
Lattice="0.000 2.429 2.429 2.429 0.000 2.429 2.429 2.429 0.000" Properties=species:S:1:pos:R:3 pbc="T T T"
Cu 0.000 0.000 0.000
P 2.429 2.429 2.429
```

DFT total energy: -8.69 eV/f.u.

***

No. 4
Density functional theory data (PBE) for CuP after structural relaxation.

Structure (extended XYZ):
```
8
Lattice="4.709 0.000 0.000 0.000 3.563 0.000 0.000 0.000 6.779" Properties=species:S:1:pos:R:3 pbc="T T T"
Cu 0.000 0.000 0.000
Cu 1.177 1.781 1.620
Cu 2.355 0.000 0.000
Cu 3.532 1.781 5.159
P 1.177 0.000 3.081
P 1.177 1.781 5.625
P 3.532 0.000 3.698
P 3.532 1.781 1.154
```

DFT total energy: -8.81 eV/f.u.

***

No. 5
Density functional theory data (PBE) for CuP10 after structural relaxation.

Structure (extended XYZ):
```
44
Lattice="7.198 0.000 0.000 1.243 11.515 0.000 1.401 4.451 11.011" Properties=species:S:1:pos:R:3 pbc="T T T"
Cu 2.387 4.832 2.789
Cu 3.781 11.426 10.631
Cu 6.062 4.540 0.380
Cu 7.455 11.134 8.222
P 2.015 11.327 4.628
P 0.741 1.414 2.118
P 2.224 8.114 10.618
P 2.236 10.091 7.722
P 2.740 8.012 8.435
P 1.370 1.527 0.007
P 2.740 9.504 5.625
P 2.725 10.886 2.581
P 3.480 12.923 5.242
P 2.293 2.574 3.230
P 3.755 11.521 8.324
P 2.391 4.869 0.500
P 4.995 8.110 8.460
P 3.624 1.637 0.121
P 5.717 14.229 8.741
P 4.998 9.725 5.651
P 4.384 7.746 0.361
P 4.495 4.222 6.159
P 4.438 5.739 3.232
P 5.012 11.133 2.752
P 4.831 4.833 8.259
P 5.404 10.227 7.779
P 5.348 11.744 4.853
P 5.459 8.220 10.650
P 4.844 6.241 5.360
P 4.125 1.737 2.271
P 6.219 14.329 10.890
P 4.847 7.856 2.551
P 7.451 11.097 10.511
P 6.087 4.445 2.687
P 7.549 13.392 7.782
P 6.362 3.043 5.769
P 7.117 5.080 8.430
P 7.102 6.462 5.386
P 8.472 14.439 11.004
P 7.103 7.954 2.576
P 7.607 5.875 3.289
P 7.618 7.852 0.394
P 9.102 14.552 8.893
P 7.827 4.639 6.384
```

DFT total energy: -58.30 eV/f.u.

***

No. 6
Density functional theory data (PBE) for CuP after structural relaxation.

Structure (extended XYZ):
```
2
Lattice="2.742 0.000 0.000 -1.371 2.374 0.000 0.000 0.000 4.067" Properties=species:S:1:pos:R:3 pbc="T T T"
Cu 0.000 0.000 0.000
P 1.371 0.791 2.033
```

DFT total energy: -8.39 eV/f.u.

***

No. 7
Density functional theory data (PBE) for PaCuP2 after structural relaxation.

Structure (extended XYZ):
```
8
Lattice="-1.925 1.925 9.106 1.925 -1.925 9.106 1.925 1.925 -9.106" Properties=species:S:1:pos:R:3 pbc="T T T"
Pa 0.000 0.000 1.986
Pa 0.000 0.000 16.227
Cu 1.925 0.000 4.553
Cu 0.000 1.925 4.553
P 1.925 0.000 0.000
P 0.000 0.000 6.036
P 0.000 1.925 0.000
P 0.000 0.000 12.177
```

DFT total energy: -27.20 eV/f.u.
Size of the total moment: 0.01 μB/f.u.

***

No. 8
Density functional theory data (PBE) for PrCu2P4Pb after structural relaxation.

Structure (extended XYZ):
```
8
Lattice="3.767 0.000 0.000 0.000 3.767 0.000 0.000 0.000 10.665" Properties=species:S:1:pos:R:3 pbc="T T T"
Pr 0.000 0.000 0.000
Cu 0.000 1.884 2.765
Cu 1.884 0.000 2.765
P 0.000 0.000 4.207
P 0.000 1.884 8.278
P 1.884 0.000 8.278
P 1.884 1.884 1.293
Pb 1.884 1.884 5.822
```

DFT total energy: -40.26 eV/f.u.
Size of the total moment: 0.00 μB/f.u.